The following is a PBE calculation of an optimized crystal structure of ReSb, from the Alexandria database.

The value obtained for the formation energy (no corrections) is 43.5 kJ per mole of atoms. The calculation puts the energy relative to the lowest polymorph listed for this composition at 44.6 kJ/mol of formula units. As for the crystal system: monoclinic. The calculation puts the density of states at the Fermi level at 0.585 states/eV per atom.

It has space group Cm (No. 8), with a = 11.129 Å, b = 3.095 Å, c = 7.301 Å, α = 90.00°, β = 112.08° and γ = 90.00°. The asymmetric unit holds Re at (0.000, 0.000, 0.000), Re at (0.092, 0.500, 0.770), Re at (0.314, 0.000, 0.753), Sb at (0.102, 0.500, 0.370), Sb at (0.265, 0.000, 0.082) and Sb at (0.393, 0.500, 0.511).